{
  "formula": "Cd3CuCl",
  "functional": "PBE",
  "state": "optimized geometry",
  "cell": [[5.0970, 0.0000, 0.0000], [0.0000, 5.0970, 0.0000], [0.0000, 0.0000, 5.0970]],
  "species": ["Cd", "Cd", "Cd", "Cu", "Cl"],
  "frac_coords": [[0.0000, 0.0000, 0.5000], [0.0000, 0.5000, 0.0000], [0.5000, 0.0000, 0.0000], [0.0000, 0.0000, 0.0000], [0.5000, 0.5000, 0.5000]],
  "total_energy_ev_per_cell": -8.914,
  "e_above_lowest_polymorph_mev_per_atom": 0,
  "raw_formation_energy_mev_per_atom": -45,
  "mass_density_kg_m3": 5470
}


{
  "formula": "CdCuCl4",
  "functional": "PBE",
  "state": "optimized geometry",
  "cell": [[0.0000, 4.1802, 4.1802], [4.1802, 0.0000, 4.1802], [4.1802, 4.1802, 0.0000]],
  "species": ["Cd", "Cu", "Cl", "Cl", "Cl", "Cl"],
  "frac_coords": [[0.0000, 0.0000, 0.0000], [0.2500, 0.2500, 0.2500], [0.1237, 0.6254, 0.6254], [0.6254, 0.1237, 0.6254], [0.6254, 0.6254, 0.1237], [0.6254, 0.6254, 0.6254]],
  "total_energy_ev_per_cell": -8.821,
  "e_above_lowest_polymorph_mev_per_atom": 1363,
  "raw_formation_energy_mev_per_atom": 596,
  "mass_density_kg_m3": 3612
}